First-principles (PBE-GGA) data for an optimized crystal structure of TlGeAu, as listed in Alexandria via LeMat-Bulk.

Calculated formation energy: 0.058 eV/atom
Electronic total energy: -10.088 eV per formula unit
Total magnetic moment: 0.00 μB/f.u.

a = 4.4492 Å, b = 5.3385 Å, c = 6.7650 Å
α = 83.71°, β = 72.22°, γ = 67.82°
Element x y z (fractional)
1 Tl 0.2233 0.1927 0.3686
2 Tl 0.7767 0.8073 0.6314
3 Ge 0.1089 0.7438 0.0625
4 Ge 0.8911 0.2562 0.9375
5 Au 0.4130 0.4008 0.7431
6 Au 0.5870 0.5992 0.2569